No. 1
Cd2InW: PBEsol geometry, meta-GGA SCAN.

The value obtained for the formation energy is 0.66 eV per atom.

The structure belongs to space group Pmmm (No. 47); the cell edges are 2.937, 4.443 and 5.855 Å and the angles 90.00°, 90.00° and 90.00°. The asymmetric unit holds Cd at (0.000, 0.000, 0.232), In at (0.500, 0.500, 0.500) and W at (0.500, 0.500, 0.000).

=====

No. 2
NiBi2O6: PBEsol geometry, meta-GGA SCAN.

The uncorrected formation energy is -7.7 eV/f.u.

The structure belongs to space group P4_2/mnm (No. 136); the cell edges are 4.852, 4.852 and 9.704 Å and the angles 90.00°, 90.00° and 90.00°. The asymmetric unit holds Ni at (0.000, 0.000, 0.000), Bi at (0.000, 0.000, 0.334), O at (0.182, 0.182, 0.150) and O at (0.219, 0.219, 0.500).

=====

No. 3
MgPb3: PBEsol geometry, meta-GGA SCAN.

The value obtained for the formation energy is -0.03 eV per atom.

The structure belongs to space group I4/mmm (No. 139); the cell edges are 4.708, 4.708 and 10.091 Å and the angles 90.00°, 90.00° and 90.00°. The asymmetric unit holds Mg at (0.000, 0.000, 0.000), Pb at (0.000, 0.000, 0.500) and Pb at (0.000, 0.500, 0.250).

=====

Calculated size of the total moment, 0.0, 1.6, 0.0 μB/f.u. (same order as the records).